No. 1
This record from the Alexandria database describes a geometry-optimized PrNdZn2 structure. The functional is PBE.

a = 9.417 Å, b = 9.417 Å, c = 9.417 Å
α = 22.92°, β = 22.92°, γ = 22.92°
Atoms (fractional coordinates):
Pr  0.000  0.000  0.000
Nd  0.500  0.500  0.500
Zn  0.249  0.249  0.249
Zn  0.751  0.751  0.751

Properties
**Distance to the lowest polymorph of the same formula**: 5.21 kcal/mol of atoms
**DOS(E_F)**: 4.549 states/eV/cell
**M_tot**: 0.000 μB per atom

***

No. 2
This record from the Alexandria database describes a geometry-optimized PrNd4Zn2 structure. The functional is PBE.

a = 10.664 Å, b = 10.664 Å, c = 10.664 Å
α = 27.53°, β = 27.53°, γ = 27.53°
Atoms (fractional coordinates):
Pr  0.000  0.000  0.000
Nd  0.201  0.201  0.201
Nd  0.398  0.398  0.398
Nd  0.602  0.602  0.602
Nd  0.799  0.799  0.799
Zn  0.100  0.100  0.100
Zn  0.900  0.900  0.900

Properties
**DOS(E_F)**: 14.207 states/eV/cell
**M_tot**: 0.000 μB per atom

***

No. 3
This record from the Alexandria database describes a geometry-optimized PrNd3Zn2 structure. The functional is PBE.

a = 9.056 Å, b = 9.056 Å, c = 9.056 Å
α = 134.26°, β = 68.21°, γ = 132.32°
Atoms (fractional coordinates):
Pr  0.000  0.000  0.000
Pr  0.500  0.500  0.000
Nd  0.023  0.250  0.773
Nd  0.250  0.750  0.500
Nd  0.477  0.250  0.227
Nd  0.523  0.750  0.773
Nd  0.750  0.250  0.500
Nd  0.977  0.750  0.227
Zn  0.139  0.701  0.839
Zn  0.361  0.201  0.562
Zn  0.639  0.799  0.438
Zn  0.861  0.299  0.161

Properties
**Distance to the lowest polymorph of the same formula**: 5.99 kcal/mol of atoms
**DOS(E_F)**: 21.362 states/eV/cell
**M_tot**: 0.001 μB per atom

***

No. 4
This record from the Alexandria database describes a geometry-optimized PrNd4Zn4 structure. The functional is PBE.

a = 7.400 Å, b = 7.400 Å, c = 7.400 Å
α = 97.17°, β = 97.17°, γ = 138.62°
Atoms (fractional coordinates):
Pr  0.000  0.000  0.000
Nd  0.112  0.656  0.768
Nd  0.344  0.112  0.457
Nd  0.656  0.888  0.543
Nd  0.888  0.344  0.232
Zn  0.323  0.426  0.749
Zn  0.426  0.677  0.102
Zn  0.574  0.323  0.898
Zn  0.677  0.574  0.251

Properties
**DOS(E_F)**: 9.413 states/eV/cell
**M_tot**: 0.000 μB per atom

***

No. 5
This record from the Alexandria database describes a geometry-optimized PrNdZn structure. The functional is PBE.

a = 5.077 Å, b = 5.077 Å, c = 3.823 Å
α = 90.00°, β = 90.00°, γ = 120.00°
Atoms (fractional coordinates):
Pr  0.000  0.000  0.000
Nd  0.667  0.333  0.429
Zn  0.333  0.667  0.705

Properties
**Distance to the lowest polymorph of the same formula**: 3.14 kcal/mol of atoms
**DOS(E_F)**: 3.095 states/eV/cell
**M_tot**: 0.000 μB per atom

***

No. 6
This record from the Alexandria database describes a geometry-optimized PrNd6Zn2 structure. The functional is PBE.

a = 6.693 Å, b = 6.693 Å, c = 12.180 Å
α = 108.43°, β = 108.43°, γ = 32.66°
Atoms (fractional coordinates):
Pr  0.000  0.000  0.000
Nd  0.026  0.026  0.329
Nd  0.311  0.311  0.126
Nd  0.312  0.312  0.410
Nd  0.688  0.688  0.590
Nd  0.689  0.689  0.874
Nd  0.974  0.974  0.671
Zn  0.351  0.351  0.795
Zn  0.649  0.649  0.205

Properties
**DOS(E_F)**: 9.760 states/eV/cell
**M_tot**: 0.000 μB per atom

***

No. 7
This record from the Alexandria database describes a geometry-optimized Pr5NdZn4 structure. The functional is PBE.

a = 3.713 Å, b = 3.713 Å, c = 20.082 Å
α = 90.00°, β = 90.00°, γ = 90.00°
Atoms (fractional coordinates):
Pr  0.000  0.000  0.000
Pr  0.000  0.000  0.184
Pr  0.000  0.000  0.369
Pr  0.000  0.000  0.631
Pr  0.000  0.000  0.816
Nd  0.500  0.500  0.500
Zn  0.500  0.500  0.093
Zn  0.500  0.500  0.278
Zn  0.500  0.500  0.722
Zn  0.500  0.500  0.907

Properties
**DOS(E_F)**: 11.512 states/eV/cell
**M_tot**: 0.000 μB per atom

***

No. 8
This record from the Alexandria database describes a geometry-optimized Pr3NdZn3 structure. The functional is PBE.

a = 7.377 Å, b = 7.377 Å, c = 7.286 Å
α = 90.00°, β = 90.00°, γ = 90.34°
Atoms (fractional coordinates):
Pr  0.249  0.751  0.000
Pr  0.251  0.251  0.000
Pr  0.252  0.252  0.500
Pr  0.748  0.748  0.500
Pr  0.749  0.749  0.000
Pr  0.751  0.249  0.000
Nd  0.248  0.752  0.500
Nd  0.752  0.248  0.500
Zn  0.000  0.000  0.252
Zn  0.000  0.000  0.748
Zn  0.000  0.500  0.252
Zn  0.000  0.500  0.748
Zn  0.500  0.000  0.252
Zn  0.500  0.000  0.748

Properties
**DOS(E_F)**: 17.189 states/eV/cell
**M_tot**: 0.000 μB per atom

***

No. 9
This record from the Alexandria database describes a geometry-optimized Pr3Nd2Zn2 structure. The functional is PBE.

a = 6.817 Å, b = 6.817 Å, c = 9.568 Å
α = 114.88°, β = 114.88°, γ = 32.53°
Atoms (fractional coordinates):
Pr  0.000  0.000  0.000
Pr  0.111  0.111  0.439
Pr  0.889  0.889  0.561
Nd  0.346  0.346  0.183
Nd  0.654  0.654  0.817
Zn  0.324  0.324  0.771
Zn  0.676  0.676  0.229

Properties
**Distance to the lowest polymorph of the same formula**: 0.00 kcal/mol of atoms
**DOS(E_F)**: 8.776 states/eV/cell
**M_tot**: 0.000 μB per atom

***

No. 10
This record from the Alexandria database describes a geometry-optimized Pr2Nd8Zn structure. The functional is PBE.

a = 10.202 Å, b = 10.202 Å, c = 6.603 Å
α = 93.27°, β = 93.27°, γ = 32.76°
Atoms (fractional coordinates):
Pr  0.237  0.237  0.332
Pr  0.763  0.763  0.668
Nd  0.039  0.039  0.252
Nd  0.154  0.154  0.809
Nd  0.346  0.346  0.880
Nd  0.422  0.422  0.390
Nd  0.578  0.578  0.610
Nd  0.654  0.654  0.120
Nd  0.846  0.846  0.191
Nd  0.961  0.961  0.748
Zn  0.500  0.500  0.000

Properties
**Distance to the lowest polymorph of the same formula**: 0.00 kcal/mol of atoms
**DOS(E_F)**: 14.325 states/eV/cell
**M_tot**: 0.000 μB per atom

***

No. 11
This record from the Alexandria database describes a geometry-optimized PrNdZn3 structure. The functional is PBE.

a = 14.096 Å, b = 14.096 Å, c = 4.595 Å
α = 90.00°, β = 90.00°, γ = 165.10°
Atoms (fractional coordinates):
Pr  0.208  0.792  0.750
Pr  0.792  0.208  0.250
Nd  0.071  0.929  0.250
Nd  0.929  0.071  0.750
Zn  0.333  0.667  0.750
Zn  0.384  0.616  0.250
Zn  0.477  0.523  0.250
Zn  0.523  0.477  0.750
Zn  0.616  0.384  0.750
Zn  0.667  0.333  0.250

Properties
**DOS(E_F)**: 9.725 states/eV/cell
**M_tot**: 0.000 μB per atom

***

No. 12
This record from the Alexandria database describes a geometry-optimized Pr2Nd2Zn structure. The functional is PBE.

a = 6.459 Å, b = 6.459 Å, c = 8.327 Å
α = 105.88°, β = 105.88°, γ = 97.42°
Atoms (fractional coordinates):
Pr  0.160  0.160  0.411
Pr  0.277  0.277  0.877
Pr  0.723  0.723  0.123
Pr  0.840  0.840  0.589
Nd  0.233  0.615  0.266
Nd  0.385  0.767  0.734
Nd  0.615  0.233  0.266
Nd  0.767  0.385  0.734
Zn  0.141  0.859  0.000
Zn  0.859  0.141  0.000

Properties
**Distance to the lowest polymorph of the same formula**: 1.82 kcal/mol of atoms
**DOS(E_F)**: 10.430 states/eV/cell
**M_tot**: 0.000 μB per atom

***

No. 13
This record from the Alexandria database describes a geometry-optimized Pr3NdZn2 structure. The functional is PBE.

a = 3.720 Å, b = 3.720 Å, c = 12.599 Å
α = 90.00°, β = 90.00°, γ = 90.00°
Atoms (fractional coordinates):
Pr  0.000  0.000  0.000
Pr  0.000  0.000  0.291
Pr  0.000  0.000  0.709
Nd  0.500  0.500  0.500
Zn  0.500  0.500  0.147
Zn  0.500  0.500  0.853

Properties
**Distance to the lowest polymorph of the same formula**: 0.00 kcal/mol of atoms
**DOS(E_F)**: 5.874 states/eV/cell
**M_tot**: 0.000 μB per atom

***

No. 14
This record from the Alexandria database describes a geometry-optimized PrNdZn4 structure. The functional is PBE.

a = 5.598 Å, b = 5.598 Å, c = 5.598 Å
α = 60.00°, β = 60.00°, γ = 60.00°
Atoms (fractional coordinates):
Pr  0.000  0.000  0.000
Nd  0.250  0.250  0.250
Zn  0.125  0.625  0.625
Zn  0.625  0.125  0.625
Zn  0.625  0.625  0.125
Zn  0.625  0.625  0.625

Properties
**Distance to the lowest polymorph of the same formula**: 0.45 kcal/mol of atoms
**DOS(E_F)**: 2.626 states/eV/cell
**M_tot**: 0.000 μB per atom

***

No. 15
This record from the Alexandria database describes a geometry-optimized Pr9Nd4Zn11 structure. The functional is PBE.

a = 13.574 Å, b = 13.574 Å, c = 3.610 Å
α = 90.00°, β = 90.00°, γ = 109.59°
Atoms (fractional coordinates):
Pr  0.000  0.000  0.000
Pr  0.122  0.645  0.000
Pr  0.295  0.472  0.000
Pr  0.355  0.878  0.000
Pr  0.472  0.295  0.000
Pr  0.528  0.705  0.000
Pr  0.645  0.122  0.000
Pr  0.705  0.528  0.000
Pr  0.878  0.355  0.000
Nd  0.070  0.251  0.000
Nd  0.251  0.070  0.000
Nd  0.749  0.930  0.000
Nd  0.930  0.749  0.000
Zn  0.085  0.446  0.500
Zn  0.134  0.866  0.500
Zn  0.267  0.267  0.500
Zn  0.327  0.673  0.500
Zn  0.446  0.085  0.500
Zn  0.500  0.500  0.500
Zn  0.554  0.915  0.500
Zn  0.673  0.327  0.500
Zn  0.733  0.733  0.500
Zn  0.866  0.134  0.500
Zn  0.915  0.554  0.500

Properties
**DOS(E_F)**: 21.678 states/eV/cell
**M_tot**: 0.000 μB per atom

***

No. 16
This record from the Alexandria database describes a geometry-optimized Pr3NdZn8 structure. The functional is PBE.

a = 5.731 Å, b = 5.731 Å, c = 8.778 Å
α = 90.00°, β = 90.00°, γ = 120.00°
Atoms (fractional coordinates):
Pr  0.000  0.000  0.000
Pr  0.000  0.000  0.398
Pr  0.333  0.667  0.896
Nd  0.333  0.667  0.501
Zn  0.341  0.171  0.698
Zn  0.503  0.006  0.199
Zn  0.503  0.497  0.199
Zn  0.667  0.333  0.448
Zn  0.667  0.333  0.950
Zn  0.829  0.171  0.698
Zn  0.829  0.659  0.698
Zn  0.994  0.497  0.199

Properties
**Distance to the lowest polymorph of the same formula**: 0.44 kcal/mol of atoms
**DOS(E_F)**: 7.261 states/eV/cell
**M_tot**: 0.000 μB per atom

***

No. 17
This record from the Alexandria database describes a geometry-optimized PrNdZn2 structure. The functional is PBE.

a = 6.413 Å, b = 6.413 Å, c = 5.217 Å
α = 90.00°, β = 90.00°, γ = 109.40°
Atoms (fractional coordinates):
Pr  0.125  0.875  0.750
Pr  0.875  0.125  0.250
Nd  0.375  0.625  0.250
Nd  0.625  0.375  0.750
Zn  0.127  0.377  0.750
Zn  0.377  0.127  0.250
Zn  0.623  0.873  0.750
Zn  0.873  0.623  0.250

Properties
**Distance to the lowest polymorph of the same formula**: 0.03 kcal/mol of atoms
**DOS(E_F)**: 8.034 states/eV/cell
**M_tot**: 0.000 μB per atom

***

No. 18
This record from the Alexandria database describes a geometry-optimized PrNd3Zn3 structure. The functional is PBE.

a = 7.347 Å, b = 7.347 Å, c = 7.257 Å
α = 90.00°, β = 90.00°, γ = 90.36°
Atoms (fractional coordinates):
Pr  0.248  0.248  0.000
Pr  0.752  0.752  0.000
Nd  0.249  0.249  0.500
Nd  0.251  0.749  0.500
Nd  0.252  0.748  0.000
Nd  0.748  0.252  0.000
Nd  0.749  0.251  0.500
Nd  0.751  0.751  0.500
Zn  0.000  0.500  0.252
Zn  0.000  0.500  0.748
Zn  0.500  0.000  0.252
Zn  0.500  0.000  0.748
Zn  0.500  0.500  0.251
Zn  0.500  0.500  0.749

Properties
**DOS(E_F)**: 16.632 states/eV/cell
**M_tot**: 0.000 μB per atom

***

No. 19
This record from the Alexandria database describes a geometry-optimized PrNd3Zn2 structure. The functional is PBE.

a = 3.696 Å, b = 3.696 Å, c = 12.567 Å
α = 90.00°, β = 90.00°, γ = 90.00°
Atoms (fractional coordinates):
Pr  0.000  0.000  0.000
Nd  0.500  0.500  0.211
Nd  0.500  0.500  0.500
Nd  0.500  0.500  0.789
Zn  0.000  0.000  0.355
Zn  0.000  0.000  0.645

Properties
**Distance to the lowest polymorph of the same formula**: 0.00 kcal/mol of atoms
**DOS(E_F)**: 5.835 states/eV/cell
**M_tot**: 0.000 μB per atom

***

No. 20
This record from the Alexandria database describes a geometry-optimized Pr4Nd3Zn4 structure. The functional is PBE.

a = 9.433 Å, b = 9.433 Å, c = 9.433 Å
α = 150.65°, β = 128.66°, γ = 60.24°
Atoms (fractional coordinates):
Pr  0.038  0.836  0.202
Pr  0.366  0.164  0.202
Pr  0.634  0.836  0.798
Pr  0.962  0.164  0.798
Nd  0.000  0.500  0.500
Nd  0.388  0.388  0.000
Nd  0.612  0.612  0.000
Zn  0.225  0.725  0.500
Zn  0.343  0.000  0.343
Zn  0.657  0.000  0.657
Zn  0.775  0.275  0.500

Properties
**DOS(E_F)**: 10.240 states/eV/cell
**M_tot**: 0.000 μB per atom

***

No. 21
This record from the Alexandria database describes a geometry-optimized PrNdZn structure. The functional is PBE.

a = 10.272 Å, b = 5.129 Å, c = 7.210 Å
α = 90.00°, β = 90.00°, γ = 90.00°
Atoms (fractional coordinates):
Pr  0.126  0.250  0.003
Pr  0.374  0.750  0.503
Pr  0.626  0.250  0.497
Pr  0.874  0.750  0.997
Nd  0.124  0.250  0.503
Nd  0.376  0.750  0.003
Nd  0.624  0.250  0.997
Nd  0.876  0.750  0.497
Zn  0.125  0.750  0.252
Zn  0.375  0.250  0.752
Zn  0.625  0.750  0.248
Zn  0.875  0.250  0.748

Properties
**Distance to the lowest polymorph of the same formula**: 5.15 kcal/mol of atoms
**DOS(E_F)**: 19.609 states/eV/cell
**M_tot**: 0.000 μB per atom

***

No. 22
This record from the Alexandria database describes a geometry-optimized PrNd6Zn structure. The functional is PBE.

a = 6.468 Å, b = 6.473 Å, c = 6.473 Å
α = 95.94°, β = 96.10°, γ = 95.95°
Atoms (fractional coordinates):
Pr  0.000  0.000  0.000
Nd  0.077  0.546  0.265
Nd  0.265  0.078  0.546
Nd  0.454  0.735  0.922
Nd  0.546  0.265  0.078
Nd  0.735  0.922  0.454
Nd  0.923  0.454  0.735
Zn  0.500  0.500  0.500

Properties
**DOS(E_F)**: 10.016 states/eV/cell
**M_tot**: 0.000 μB per atom

***

Energy of formation from the pure elements
In order: -0.0820, 0.1346, 0.0507, -0.1380, -0.0570, -0.1318, -0.2386, -0.1872, -0.1221, -0.0099, -0.3077, -0.0343, -0.2017, -0.3196, -0.2269, -0.2952, -0.3067, -0.1889, -0.2093, -0.1023, 0.0300, 0.0237
Unit: eV/atom